Entry 1:
CaP2PdCl after structural relaxation. Source: Alexandria, functional GGA-PBE.

abc: 5.3662 5.3662 5.0153
angles: 90.00 90.00 90.00
With the nearest neighbours (Å) after each atom.
Positions (direct):
Ca 0.0000 0.0000 0.0000  2 Cl 2.51, 4 P 2.68
P 0.0000 0.5000 0.0000  2 Ca 2.68
P 0.5000 0.0000 0.0000  2 Ca 2.68
Pd 0.5000 0.5000 0.5000  8 P 3.67, 4 Cl 3.79
Cl 0.0000 0.0000 0.5000  2 Ca 2.51

Summary:
The energy relative to the elements, uncorrected comes out at 736.1 meV/atom.

***

Entry 2:
Tb5Sm3Tm4 after structural relaxation. Source: Alexandria, functional GGA-PBE.

abc: 6.1503 7.1038 8.6885
angles: 90.07 90.01 90.12
With the nearest neighbours (Å) after each atom.
Positions (direct):
Tb 0.0000 0.0000 0.0000  4 Tb 3.54-3.55, 4 Sm 3.55, 4 Tm 3.55-3.56
Tb 0.3339 0.5001 0.3341  3 Tb 3.53-3.56, 5 Tm 3.54-3.56, 4 Sm 3.54-3.56
Tb 0.4987 0.7515 0.9998  6 Tb 3.53-3.57, 3 Tm 3.55, 3 Sm 3.55-3.57
Tb 0.5013 0.2485 0.0002  6 Tb 3.53-3.57, 3 Tm 3.55, 3 Sm 3.55-3.57
Tb 0.6661 0.4999 0.6659  3 Tb 3.53-3.56, 5 Tm 3.54-3.56, 4 Sm 3.54-3.56
Sm 0.0000 0.5000 0.0000  8 Tb 3.55-3.57, 2 Sm 3.56, 2 Tm 3.56
Sm 0.1660 0.2487 0.6656  6 Tm 3.53-3.57, 5 Tb 3.54-3.56, 1 Sm 3.56
Sm 0.8340 0.7513 0.3344  6 Tm 3.53-3.57, 5 Tb 3.54-3.56, 1 Sm 3.56
Tm 0.1676 0.7514 0.6657  3 Tm 3.53-3.56, 4 Sm 3.53-3.57, 5 Tb 3.54-3.56
Tm 0.3339 0.0001 0.3341  4 Tm 3.53-3.56, 3 Sm 3.53-3.55, 5 Tb 3.55-3.56
Tm 0.6661 0.9999 0.6659  4 Tm 3.53-3.56, 3 Sm 3.53-3.55, 5 Tb 3.55-3.56
Tm 0.8324 0.2486 0.3343  3 Tm 3.53-3.56, 4 Sm 3.53-3.57, 5 Tb 3.54-3.56

Summary:
As for the calculated formation energy: 0.018 eV per atom.

***

Entry 3:
ScCu2Rh2 after structural relaxation. Source: Alexandria, functional GGA-PBE.

abc: 6.9110 6.9110 3.1616
angles: 90.00 90.00 90.00
With the nearest neighbours (Å) after each atom.
Positions (direct):
Sc 0.0000 0.0000 0.0000  4 Rh 2.67
Sc 0.5000 0.5000 0.0000  4 Rh 2.67
Cu 0.1583 0.3417 0.5000  6 Rh 2.53-2.60
Cu 0.3417 0.8417 0.5000  6 Rh 2.53-2.60
Cu 0.6583 0.1583 0.5000  6 Rh 2.53-2.60
Cu 0.8417 0.6583 0.5000  6 Rh 2.53-2.60
Rh 0.1392 0.6392 0.0000  6 Cu 2.53-2.60, 2 Sc 2.67, 1 Rh 2.72
Rh 0.3608 0.1392 0.0000  6 Cu 2.53-2.60, 2 Sc 2.67, 1 Rh 2.72
Rh 0.6392 0.8608 0.0000  6 Cu 2.53-2.60, 2 Sc 2.67, 1 Rh 2.72
Rh 0.8608 0.3608 0.0000  6 Cu 2.53-2.60, 2 Sc 2.67, 1 Rh 2.72

Summary:
As for the calculated formation energy: -0.202 eV per atom.

***

Entry 4:
PmPuNpGe after structural relaxation. Source: Alexandria, functional GGA-PBE.

abc: 5.1741 5.1741 5.1741
angles: 60.00 60.00 60.00
With the nearest neighbours (Å) after each atom.
Positions (direct):
Pm 0.0000 0.0000 0.0000  4 Ge 3.17, 4 Np 3.17
Pu 0.5000 0.5000 0.5000  4 Ge 3.17, 4 Np 3.17
Np 0.2500 0.2500 0.2500  4 Pm 3.17, 4 Pu 3.17
Ge 0.7500 0.7500 0.7500  4 Pm 3.17, 4 Pu 3.17

Summary:
As for the calculated formation energy: 0.120 eV per atom.

***

Entry 5:
Pm4NiSeI2 after structural relaxation. Source: Alexandria, functional GGA-PBE.

abc: 7.5476 4.0900 8.0598
angles: 90.00 106.68 90.00
With the nearest neighbours (Å) after each atom.
Positions (direct):
Pm 0.2046 0.0000 0.1891  2 Ni 2.75, 1 Se 3.04
Pm 0.2563 0.5000 0.8042  1 Ni 2.83, 2 Se 2.90
Pm 0.7437 0.5000 0.1958  1 Ni 2.83, 2 Se 2.90
Pm 0.7954 0.0000 0.8109  2 Ni 2.75, 1 Se 3.04
Ni 0.0000 0.5000 0.0000  6 Pm 2.75-2.83
Se 0.5000 0.0000 0.0000  6 Pm 2.90-3.04
I 0.0000 0.0000 0.5000  6 Pm 3.30-3.35
I 0.5000 0.5000 0.5000  6 Pm 3.46-3.50

Summary:
The energy relative to the elements, uncorrected comes out at -1019.7 meV/atom.

***

Entry 6:
AcFeAs2 after structural relaxation. Source: Alexandria, functional GGA-PBE.

abc: 4.7178 4.7178 4.1821
angles: 90.00 90.00 90.00
With the nearest neighbours (Å) after each atom.
Positions (direct):
Ac 0.0000 0.0000 0.0000  8 As 3.15, 4 Fe 3.34
Fe 0.5000 0.5000 0.0000  8 As 3.15, 4 Ac 3.34
As 0.0000 0.5000 0.5000  4 Ac 3.15, 4 Fe 3.15, 4 As 3.34
As 0.5000 0.0000 0.5000  4 Ac 3.15, 4 Fe 3.15, 4 As 3.34

Summary:
As for the calculated formation energy: -0.133 eV per atom.